# PBE Ta2TlPt, optimized geometry
data_Ta2TlPt
_chemical_formula_sum 'Ta8 Tl4 Pt4'
_cell_length_a 6.675
_cell_length_b 6.675
_cell_length_c 6.675
_cell_angle_alpha 90.00
_cell_angle_beta 90.00
_cell_angle_gamma 90.00
_space_group_name_H-M_alt 'F m -3 m'
_space_group_IT_number 225
_space_group_name_Hall '-F 4 2 3'
loop_
_atom_site_label
_atom_site_type_symbol
_atom_site_fract_x
_atom_site_fract_y
_atom_site_fract_z
Ta1 Ta 0.250 0.250 0.250
Tl1 Tl 0.000 0.000 0.000
Pt1 Pt 0.000 0.000 0.500
# formation energy from the elements = 0.340 eV per atom


# PBE TaGaO4, optimized geometry
data_TaGaO4
_chemical_formula_sum 'Ta2 Ga2 O8'
_cell_length_a 4.791
_cell_length_b 4.791
_cell_length_c 8.720
_cell_angle_alpha 90.00
_cell_angle_beta 90.00
_cell_angle_gamma 90.00
_space_group_name_H-M_alt 'P -4 2 c'
_space_group_IT_number 112
loop_
_space_group_symop_operation_xyz
'x,y,z'
'y,-x,-z'
'-x,-y,z'
'-y,x,-z'
'x,-y,-z+1/2'
'y,x,z+1/2'
'-x,y,-z+1/2'
'-y,-x,z+1/2'
loop_
_atom_site_label
_atom_site_type_symbol
_atom_site_fract_x
_atom_site_fract_y
_atom_site_fract_z
Ta1 Ta 0.000 0.500 0.250
Ga1 Ga 0.000 0.000 0.000
O1 O 0.196 0.257 0.379
# formation energy without anion corrections = -2195 meV/atom


# PBE Ca2Mn2Ni15, optimized geometry
data_Ca2Mn2Ni15
_chemical_formula_sum 'Ca6 Mn6 Ni45'
_cell_length_a 8.3688
_cell_length_b 8.3688
_cell_length_c 12.2262
_cell_angle_alpha 90.00
_cell_angle_beta 90.00
_cell_angle_gamma 120.00
_space_group_name_H-M_alt 'R -3 m'
_space_group_IT_number 166
_space_group_name_Hall '-R 3 2"'
loop_
_atom_site_label
_atom_site_type_symbol
_atom_site_fract_x
_atom_site_fract_y
_atom_site_fract_z
Ca1 Ca 0.0000 0.0000 0.1517
Mn1 Mn 0.0000 0.0000 0.3964
Ni1 Ni 0.0000 0.2923 0.5000
Ni2 Ni 0.0000 0.5000 0.0000
Ni3 Ni 0.0037 0.5019 0.3454
# formation energy from the elements = -0.088 eV per atom


# PBE AcMg3Zn3, optimized geometry
data_AcMg3Zn3
_chemical_formula_sum 'Ac2 Mg6 Zn6'
_cell_length_a 8.8742
_cell_length_b 8.8742
_cell_length_c 4.7571
_cell_angle_alpha 90.00
_cell_angle_beta 90.00
_cell_angle_gamma 120.00
_space_group_name_H-M_alt 'P 63/m'
_space_group_IT_number 176
_space_group_name_Hall '-P 6c'
loop_
_atom_site_label
_atom_site_type_symbol
_atom_site_fract_x
_atom_site_fract_y
_atom_site_fract_z
Ac1 Ac 0.3333 0.6667 0.2500
Mg1 Mg 0.0301 0.7718 0.7500
Zn1 Zn 0.0633 0.4535 0.7500
# formation energy from the elements = -0.106 eV per atom


# PBE TbInRh, optimized geometry
data_TbInRh
_chemical_formula_sum 'Tb4 In4 Rh4'
_cell_length_a 11.251
_cell_length_b 4.647
_cell_length_c 5.206
_cell_angle_alpha 90.00
_cell_angle_beta 99.64
_cell_angle_gamma 90.00
_space_group_name_H-M_alt 'C 1 2/m 1'
_space_group_IT_number 12
loop_
_space_group_symop_operation_xyz
'x,y,z'
'-x,-y,-z'
'-x,y,-z'
'x,-y,z'
'x+1/2,y+1/2,z'
'-x+1/2,-y+1/2,-z'
'-x+1/2,y+1/2,-z'
'x+1/2,-y+1/2,z'
loop_
_atom_site_label
_atom_site_type_symbol
_atom_site_fract_x
_atom_site_fract_y
_atom_site_fract_z
Tb1 Tb 0.131 0.000 0.309
In1 In 0.082 0.500 0.777
Rh1 Rh 0.210 0.000 0.837
# formation energy from the elements = -0.672 eV per atom


# PBE Tm5Mg6Sc, optimized geometry
data_Tm5Mg6Sc
_chemical_formula_sum 'Tm10 Mg12 Sc2'
_cell_length_a 5.286
_cell_length_b 15.876
_cell_length_c 7.411
_cell_angle_alpha 90.00
_cell_angle_beta 90.00
_cell_angle_gamma 90.00
_space_group_name_H-M_alt 'C m m m'
_space_group_IT_number 65
_space_group_name_Hall '-C 2 2'
loop_
_atom_site_label
_atom_site_type_symbol
_atom_site_fract_x
_atom_site_fract_y
_atom_site_fract_z
Tm1 Tm 0.000 0.000 0.000
Tm2 Tm 0.000 0.332 0.000
Tm3 Tm 0.000 0.333 0.500
Mg1 Mg 0.000 0.163 0.254
Mg2 Mg 0.000 0.500 0.257
Sc1 Sc 0.000 0.000 0.500
# formation energy from the elements = -0.052 eV per atom